# 1
! MgZr2TaN | Alexandria | PBE-GGA | optimized geometry; values from VASP
&SYSTEM
  ibrav = 0, nat = 5, ntyp = 4
/
ATOMIC_SPECIES
Mg 24.30 Mg.upf
N 14.01 N.upf
Zr 91.22 Zr.upf
Ta 180.95 Ta.upf
ATOMIC_POSITIONS crystal
Mg 0.5000 0.5000 0.5000
N 0.0000 0.0000 0.0000
Zr 0.0000 0.5000 0.0000
Zr 0.5000 0.0000 0.0000
Ta 0.0000 0.0000 0.5000
CELL_PARAMETERS angstrom
4.6392 0.0000 0.0000
0.0000 4.6392 0.0000
0.0000 0.0000 4.1383
! * crystal system: tetragonal
! * energy: -41.857 eV/cell
! * energy relative to the elements, uncorrected: -598 meV per atom
! * total magnetization: 0.000 μB/cell

# 2
! CrCu3Pd7 | Alexandria | PBE-GGA | optimized geometry; values from VASP
&SYSTEM
  ibrav = 0, nat = 11, ntyp = 3
/
ATOMIC_SPECIES
Cr 52.00 Cr.upf
Cu 63.55 Cu.upf
Pd 106.42 Pd.upf
ATOMIC_POSITIONS crystal
Cr 0.5000 0.5000 0.5000
Cu 0.0000 0.7726 0.2274
Cu 0.5000 0.0000 0.0000
Cu 0.0000 0.2274 0.7726
Pd 0.2311 0.1830 0.1830
Pd 0.3308 0.0581 0.5993
Pd 0.6692 0.4007 0.9419
Pd 0.3308 0.5993 0.0581
Pd 0.0000 0.5000 0.5000
Pd 0.6692 0.9419 0.4007
Pd 0.7689 0.8170 0.8170
CELL_PARAMETERS angstrom
4.6806 -0.1368 -0.1752
-2.3560 6.1350 0.4026
-2.3560 -1.0967 6.0496
! * E_form: 0.177 eV/atom
! * crystal system: monoclinic
! * energy: -56.317 eV/cell
! * total magnetization: 3.214 μB/cell

# 3
! Na3Mg6Pb5 | Alexandria | PBE-GGA | optimized geometry; values from VASP
&SYSTEM
  ibrav = 0, nat = 28, ntyp = 3
/
ATOMIC_SPECIES
Na 22.99 Na.upf
Mg 24.30 Mg.upf
Pb 207.20 Pb.upf
ATOMIC_POSITIONS crystal
Na 0.0000 0.2503 0.7108
Na 0.5000 0.7497 0.2108
Na 0.5000 0.7497 0.7892
Na 0.0000 0.2499 0.0000
Na 0.5000 0.7501 0.5000
Na 0.0000 0.2503 0.2892
Mg 0.0000 0.9802 0.8359
Mg 0.5000 0.0198 0.6641
Mg 0.5000 0.3941 0.8508
Mg 0.5000 0.6012 0.0000
Mg 0.0000 0.3988 0.5000
Mg 0.0000 0.6059 0.6492
Mg 0.0000 0.6059 0.3508
Mg 0.5000 0.9450 0.0000
Mg 0.0000 0.9802 0.1641
Mg 0.5000 0.3941 0.1492
Mg 0.0000 0.0550 0.5000
Mg 0.5000 0.0198 0.3359
Pb 0.0000 0.5472 0.8572
Pb 0.0000 0.8666 0.6466
Pb 0.0000 0.7820 0.0000
Pb 0.5000 0.4528 0.6428
Pb 0.5000 0.2180 0.5000
Pb 0.0000 0.5472 0.1427
Pb 0.5000 0.4528 0.3572
Pb 0.0000 0.8666 0.3534
Pb 0.5000 0.1334 0.8534
Pb 0.5000 0.1334 0.1466
CELL_PARAMETERS angstrom
-4.4720 -1.9474 0.0126
1.7511 -4.0869 -10.1927
5.2825 -12.0937 5.7567
! * E_form: -0.081 eV/atom
! * crystal system: orthorhombic
! * energy: -66.406 eV/cell
! * total magnetization: 0.000 μB/cell

Repeat the second record exactly.
! CrCu3Pd7 | Alexandria | PBE-GGA | optimized geometry; values from VASP
&SYSTEM
  ibrav = 0, nat = 11, ntyp = 3
/
ATOMIC_SPECIES
Cr 52.00 Cr.upf
Cu 63.55 Cu.upf
Pd 106.42 Pd.upf
ATOMIC_POSITIONS crystal
Cr 0.5000 0.5000 0.5000
Cu 0.0000 0.7726 0.2274
Cu 0.5000 0.0000 0.0000
Cu 0.0000 0.2274 0.7726
Pd 0.2311 0.1830 0.1830
Pd 0.3308 0.0581 0.5993
Pd 0.6692 0.4007 0.9419
Pd 0.3308 0.5993 0.0581
Pd 0.0000 0.5000 0.5000
Pd 0.6692 0.9419 0.4007
Pd 0.7689 0.8170 0.8170
CELL_PARAMETERS angstrom
4.6806 -0.1368 -0.1752
-2.3560 6.1350 0.4026
-2.3560 -1.0967 6.0496
! * E_form: 0.177 eV/atom
! * crystal system: monoclinic
! * energy: -56.317 eV/cell
! * total magnetization: 3.214 μB/cell